Density functional theory data (PBE) for a relaxed structure of La2Pm4Sn3Cl2.

ΔE_f (raw): -0.874 eV/atom
calculated volume: 31.25 Å³ per atom
E: -4.925 eV per atom

Lattice parameters (Å, degrees): 12.859 12.859 12.859 156.28 156.28 33.80
Element x y z (fractional)
La 0.198 0.198 0.000
La 0.802 0.802 0.000
Pm 0.086 0.586 0.500
Pm 0.414 0.914 0.500
Pm 0.586 0.086 0.500
Pm 0.914 0.414 0.500
Sn 0.331 0.331 0.000
Sn 0.500 0.500 0.000
Sn 0.669 0.669 0.000
Cl 0.068 0.068 0.000
Cl 0.932 0.932 0.000